Here is a relaxed Mo2RhAu crystal from Alexandria. Energies are from PBE.

Energy relative to the lowest polymorph listed for this composition in meV per atom: 69
E_tot in Ry/atom: -0.58538

CIF file:
```
data_Mo2RhAu
_cell_length_a 9.2552
_cell_length_b 2.7724
_cell_length_c 4.9905
_cell_angle_alpha 90.00
_cell_angle_beta 99.13
_cell_angle_gamma 90.00
_space_group_name_H-M_alt 'C 1 m 1'
_space_group_IT_number 8
loop_
_space_group_symop_operation_xyz
'x,y,z'
'x,-y,z'
'x+1/2,y+1/2,z'
'x+1/2,-y+1/2,z'
loop_
_atom_site_label
_atom_site_type_symbol
_atom_site_fract_x
_atom_site_fract_y
_atom_site_fract_z
_atom_site_occupancy
Mo1 Mo 0.0000 0.0000 0.0000 1
Mo2 Mo 0.2497 0.0000 0.7360 1
Rh1 Rh 0.0087 0.5000 0.5200 1
Au1 Au 0.2523 0.5000 0.2469 1
```

=====

Here is a relaxed Ac3Tb2Tl4Ag2 crystal from Alexandria. Energies are from PBE.

E_tot in Ry/atom: -0.26013

CIF file:
```
data_Ac3Tb2Tl4Ag2
_cell_length_a 5.1466
_cell_length_b 5.1466
_cell_length_c 15.4599
_cell_angle_alpha 90.00
_cell_angle_beta 90.00
_cell_angle_gamma 120.00
_space_group_name_H-M_alt 'P -3 m 1'
_space_group_IT_number 164
_space_group_name_Hall '-P 3 2"'
loop_
_atom_site_label
_atom_site_type_symbol
_atom_site_fract_x
_atom_site_fract_y
_atom_site_fract_z
_atom_site_occupancy
Ac1 Ac 0.0000 0.0000 0.0000 1
Ac2 Ac 0.0000 0.0000 0.2485 1
Tb1 Tb 0.3333 0.6667 0.5733 1
Tl1 Tl 0.3333 0.6667 0.3666 1
Tl2 Tl 0.3333 0.6667 0.8699 1
Ag1 Ag 0.3333 0.6667 0.1270 1
```

=====

Here is a relaxed Na3PbN crystal from Alexandria. Energies are from PBE.

Energy relative to the lowest polymorph listed for this composition in meV per atom: 703
E_tot in Ry/atom: -0.15719

CIF file:
```
data_Na3PbN
_cell_length_a 6.0670
_cell_length_b 6.0670
_cell_length_c 6.0670
_cell_angle_alpha 90.00
_cell_angle_beta 90.00
_cell_angle_gamma 90.00
_space_group_name_H-M_alt 'P m -3 m'
_space_group_IT_number 221
_space_group_name_Hall '-P 4 2 3'
loop_
_atom_site_label
_atom_site_type_symbol
_atom_site_fract_x
_atom_site_fract_y
_atom_site_fract_z
_atom_site_occupancy
Na1 Na 0.0000 0.0000 0.5000 1
Pb1 Pb 0.0000 0.0000 0.0000 1
N1 N 0.5000 0.5000 0.5000 1
```